Below is an optimized crystal structure of CaGa2Au2, with properties calculated at the PBE level.

Calculated values
As for the calculated formation energy: -0.364 eV per atom. The calculation puts the total magnetization at 0.0 μB per cell. The density of states at the Fermi level is 3.665 states/eV/cell. The energy is -3.29 eV/atom.

a = 7.712 Å, b = 7.712 Å, c = 3.438 Å
α = 90.00°, β = 90.00°, γ = 90.00°
Space group P4/mbm (No. 127)
One atom of each set of equivalent atoms:
1 Ca 0.000 0.000 0.000 x2
2 Ga 0.119 0.381 0.000 x4
3 Au 0.187 0.687 0.500 x4